Version i
! PBE LaHfW2, relaxed; values from VASP
! SG: I-42d, No. 122
! Magnetization: 0.000 Bohr magnetons per cell
! Theoretical density: 12.87 g/cm3
! Calculated volume: 176.8 Å³/cell
&SYSTEM
  ibrav = 0, nat = 8, ntyp = 3
/
ATOMIC_SPECIES
W 183.84 W.upf
Hf 178.49 Hf.upf
La 138.91 La.upf
ATOMIC_POSITIONS crystal
W 0.104 0.625 0.250
W 0.375 0.354 0.750
Hf 0.000 0.000 0.000
La 0.250 0.750 0.500
W 0.646 0.125 0.250
W 0.875 0.896 0.750
La 0.500 0.500 0.000
Hf 0.750 0.250 0.500
CELL_PARAMETERS angstrom
7.885 0.000 0.000
0.000 7.885 0.000
3.942 3.942 2.843

***

Version ii
! PBE LaHfW2, relaxed; values from VASP
! SG: Fm-3m, No. 225
! Magnetization: 0.000 Bohr magnetons per cell
! Theoretical density: 13.90 g/cm3
! Calculated volume: 81.9 Å³/cell
&SYSTEM
  ibrav = 0, nat = 4, ntyp = 3
/
ATOMIC_SPECIES
Hf 178.49 Hf.upf
La 138.91 La.upf
W 183.84 W.upf
ATOMIC_POSITIONS crystal
Hf 0.500 0.500 0.500
La 0.000 0.000 0.000
W 0.250 0.250 0.250
W 0.750 0.750 0.750
CELL_PARAMETERS angstrom
0.000 3.446 3.446
3.446 0.000 3.446
3.446 3.446 0.000

***

Winner for stability: version ii

***

Version i
! PBE La2YHf2, relaxed; values from VASP
! SG: I4/mmm, No. 139
! Magnetization: 0.000 Bohr magnetons per cell
! Theoretical density: 7.79 g/cm3
! Calculated volume: 154.3 Å³/cell
&SYSTEM
  ibrav = 0, nat = 5, ntyp = 3
/
ATOMIC_SPECIES
Hf 178.49 Hf.upf
Y 88.91 Y.upf
La 138.91 La.upf
ATOMIC_POSITIONS crystal
Hf 0.250 0.750 0.500
Y 0.000 0.000 0.000
La 0.600 0.600 0.801
La 0.400 0.400 0.199
Hf 0.750 0.250 0.500
CELL_PARAMETERS angstrom
-2.061 -3.756 -0.807
3.137 -2.174 2.106
-3.589 -2.192 7.595

***

Version ii
! PBE La2YHf2, relaxed; values from VASP
! SG: P4/mbm, No. 127
! Magnetization: 0.683 Bohr magnetons per cell
! Theoretical density: 8.04 g/cm3
! Calculated volume: 298.8 Å³/cell
&SYSTEM
  ibrav = 0, nat = 10, ntyp = 3
/
ATOMIC_SPECIES
Y 88.91 Y.upf
La 138.91 La.upf
Hf 178.49 Hf.upf
ATOMIC_POSITIONS crystal
Y 0.500 0.500 0.000
La 0.819 0.319 0.500
La 0.319 0.181 0.500
Hf 0.116 0.384 0.000
La 0.681 0.819 0.500
Hf 0.616 0.116 0.000
Hf 0.384 0.884 0.000
Y 0.000 0.000 0.000
Hf 0.884 0.616 0.000
La 0.181 0.681 0.500
CELL_PARAMETERS angstrom
9.266 0.000 0.000
0.000 9.266 0.000
0.000 0.000 3.481

***

Winner for stability: version ii

***

Version i
! PBE LaYHf2, relaxed; values from VASP
! SG: I-42d, No. 122
! Magnetization: 0.003 Bohr magnetons per cell
! Theoretical density: 8.65 g/cm3
! Calculated volume: 224.5 Å³/cell
&SYSTEM
  ibrav = 0, nat = 8, ntyp = 3
/
ATOMIC_SPECIES
Hf 178.49 Hf.upf
Y 88.91 Y.upf
La 138.91 La.upf
ATOMIC_POSITIONS crystal
Hf 0.875 0.874 0.750
Y 0.500 0.500 0.000
La 0.000 0.000 0.000
Hf 0.126 0.625 0.250
Y 0.250 0.750 0.500
Hf 0.624 0.125 0.250
La 0.750 0.250 0.500
Hf 0.375 0.376 0.750
CELL_PARAMETERS angstrom
-5.692 5.859 -1.987
-3.933 -5.511 -4.984
-6.617 -0.749 -1.040

***

Version ii
! PBE LaYHf2, relaxed; values from VASP
! SG: Fm-3m, No. 225
! Magnetization: 0.000 Bohr magnetons per cell
! Theoretical density: 9.00 g/cm3
! Calculated volume: 107.9 Å³/cell
&SYSTEM
  ibrav = 0, nat = 4, ntyp = 3
/
ATOMIC_SPECIES
Hf 178.49 Hf.upf
La 138.91 La.upf
Y 88.91 Y.upf
ATOMIC_POSITIONS crystal
Hf 0.750 0.750 0.750
La 0.500 0.500 0.500
Hf 0.250 0.250 0.250
Y 0.000 0.000 0.000
CELL_PARAMETERS angstrom
0.000 3.778 3.778
3.778 0.000 3.778
3.778 3.778 0.000

***

Winner for stability: version ii

***

Version i
! PBE LaY2Hf, relaxed; values from VASP
! SG: I-42d, No. 122
! Magnetization: 0.000 Bohr magnetons per cell
! Theoretical density: 6.60 g/cm3
! Calculated volume: 249.1 Å³/cell
&SYSTEM
  ibrav = 0, nat = 8, ntyp = 3
/
ATOMIC_SPECIES
Y 88.91 Y.upf
La 138.91 La.upf
Hf 178.49 Hf.upf
ATOMIC_POSITIONS crystal
Y 0.375 0.363 0.750
Y 0.875 0.887 0.750
Y 0.637 0.125 0.250
La 0.500 0.500 0.000
Hf 0.000 0.000 0.000
La 0.250 0.750 0.500
Y 0.113 0.625 0.250
Hf 0.750 0.250 0.500
CELL_PARAMETERS angstrom
4.686 0.000 0.000
0.000 4.686 0.000
2.343 2.343 11.344

***

Version ii
! PBE LaY2Hf, relaxed; values from VASP
! SG: R-3m, No. 166
! Magnetization: 0.000 Bohr magnetons per cell
! Theoretical density: 6.81 g/cm3
! Calculated volume: 120.7 Å³/cell
&SYSTEM
  ibrav = 0, nat = 4, ntyp = 3
/
ATOMIC_SPECIES
Hf 178.49 Hf.upf
La 138.91 La.upf
Y 88.91 Y.upf
ATOMIC_POSITIONS crystal
Hf 0.000 0.000 0.000
La 0.500 0.500 0.500
Y 0.915 0.915 0.255
Y 0.085 0.085 0.745
CELL_PARAMETERS angstrom
-2.489 1.330 1.860
-3.190 -0.122 -1.110
-3.434 -10.322 5.857

***

Winner for stability: version ii